Record 1
{"formula": "La3HoMg4", "functional": "PBE-GGA", "state": "relaxed", "lattice": [[3.908, 0.000, 0.000], [0.000, 3.908, 0.000], [0.000, 0.000, 15.728]], "species": ["La", "La", "La", "Ho", "Mg", "Mg", "Mg", "Mg"], "frac_coords": [[0.000, 0.000, 0.000], [0.000, 0.000, 0.258], [0.000, 0.000, 0.742], [0.000, 0.000, 0.500], [0.500, 0.500, 0.128], [0.500, 0.500, 0.387], [0.500, 0.500, 0.613], [0.500, 0.500, 0.872]], "crystal_system": "tetragonal", "e_form_kj_per_mol_fu": -77, "n_ef_per_ev_fu": 10.11}


Record 2
{"formula": "BaGa2Si2O8", "functional": "PBE-GGA", "state": "relaxed", "lattice": [[6.831, -6.704, 0.000], [6.831, 6.704, 0.000], [-1.656, 0.000, 8.684]], "species": ["Ba", "Ba", "Ba", "Ba", "Ga", "Ga", "Ga", "Ga", "Ga", "Ga", "Ga", "Ga", "Si", "Si", "Si", "Si", "Si", "Si", "Si", "Si", "O", "O", "O", "O", "O", "O", "O", "O", "O", "O", "O", "O", "O", "O", "O", "O", "O", "O", "O", "O", "O", "O", "O", "O", "O", "O", "O", "O", "O", "O", "O", "O"], "frac_coords": [[0.065, 0.564, 0.786], [0.436, 0.935, 0.714], [0.564, 0.065, 0.286], [0.935, 0.436, 0.214], [0.049, 0.800, 0.465], [0.200, 0.951, 0.035], [0.304, 0.435, 0.113], [0.435, 0.304, 0.613], [0.565, 0.696, 0.387], [0.696, 0.565, 0.887], [0.800, 0.049, 0.965], [0.951, 0.200, 0.535], [0.073, 0.215, 0.905], [0.215, 0.073, 0.405], [0.285, 0.562, 0.478], [0.438, 0.715, 0.022], [0.562, 0.285, 0.978], [0.715, 0.438, 0.522], [0.785, 0.927, 0.595], [0.927, 0.785, 0.095], [0.026, 0.262, 0.734], [0.059, 0.819, 0.005], [0.083, 0.184, 0.399], [0.134, 0.365, 0.005], [0.143, 0.643, 0.531], [0.181, 0.941, 0.495], [0.184, 0.083, 0.899], [0.246, 0.480, 0.304], [0.262, 0.026, 0.234], [0.315, 0.454, 0.609], [0.323, 0.588, 0.009], [0.357, 0.857, 0.969], [0.365, 0.134, 0.505], [0.412, 0.677, 0.491], [0.454, 0.315, 0.109], [0.480, 0.246, 0.804], [0.520, 0.754, 0.196], [0.546, 0.685, 0.891], [0.588, 0.323, 0.509], [0.635, 0.866, 0.495], [0.643, 0.143, 0.031], [0.677, 0.412, 0.991], [0.685, 0.546, 0.391], [0.738, 0.974, 0.766], [0.754, 0.520, 0.696], [0.816, 0.917, 0.101], [0.819, 0.059, 0.505], [0.857, 0.357, 0.469], [0.866, 0.635, 0.995], [0.917, 0.816, 0.601], [0.941, 0.181, 0.995], [0.974, 0.738, 0.266]], "crystal_system": "monoclinic", "raw_formation_energy_ev_per_atom": -2.549, "n_ef_per_ev_fu": 0.00}


Record 3
{"formula": "Ti2BeSnRh", "functional": "PBE-GGA", "state": "relaxed", "lattice": [[4.399, 0.000, 0.000], [0.000, 4.399, 0.000], [0.000, 0.000, 4.188]], "species": ["Ti", "Ti", "Be", "Sn", "Rh"], "frac_coords": [[0.000, 0.500, 0.000], [0.500, 0.000, 0.000], [0.000, 0.000, 0.000], [0.500, 0.500, 0.500], [0.000, 0.000, 0.500]], "crystal_system": "tetragonal", "de_polymorph_mev_per_atom": 0.0, "e_form_kj_per_mol_fu": -55, "n_ef_per_ev_fu": 3.07}


Number 1: raw total energy -3.317 eV per atom. Number 2: raw total energy -7.048 eV per atom. Number 3: raw total energy -6.288 eV per atom.